Density functional theory data (PBE-GGA) for an optimized crystal structure of Er2ThCo9.

Cell lengths 8.649, 8.649, 8.649 Å; angles 33.41, 33.41, 33.41 degrees
Atoms (fractional coordinates):
Er: 0.141 0.141 0.141
Er: 0.859 0.859 0.859
Th: 0.000 0.000 0.000
Co: 0.079 0.584 0.584
Co: 0.335 0.335 0.335
Co: 0.416 0.416 0.921
Co: 0.416 0.921 0.416
Co: 0.500 0.500 0.500
Co: 0.584 0.079 0.584
Co: 0.584 0.584 0.079
Co: 0.665 0.665 0.665
Co: 0.921 0.416 0.416

- Energy of formation from the pure elements: -0.21 eV/atom
- V: 14.56 Å³/atom
- Magnetization: 9.791 μB per formula unit